A plane-wave DFT calculation with PBE was carried out for a relaxed structure of MgSc5In3.

DFT total energy (eV per atom): -4.979
Total magnetic moment (μB/cell): 0.01
V (Å³/f.u.): 206.0

Cell: 8.7527 8.7527 6.2089 Å, 90.00 90.00 120.00°
With the nearest neighbours (Å) after each atom.
Space group P6_3/mcm (No. 193)
Asymmetric unit:
Mg  0.0000  0.0000  0.0000 (multiplicity 2)  2 Mg 3.10, 6 Sc 3.16, 6 In 3.44
Sc  0.0000  0.3147  0.2500 (multiplicity 6)  5 In 2.93-3.12, 2 Mg 3.16
Sc  0.3333  0.6667  0.0000 (multiplicity 4)  8 Sc 3.10-3.38, 6 In 3.24
In  0.0000  0.3509  0.7500 (multiplicity 6)  9 Sc 2.93-3.24

A plane-wave DFT calculation with PBE was carried out for a relaxed structure of MgSc2In3.

Energy above the most stable polymorph in this dataset (meV/atom): 0
Total magnetic moment (μB/cell): 0.00
V (Å³/f.u.): 135.0

Cell: 4.3029 13.9684 4.4933 Å, 90.00 90.00 90.00°
With the nearest neighbours (Å) after each atom.
Space group Cmmm (No. 65)
Asymmetric unit:
Mg  0.0000  0.0000  0.0000 (multiplicity 2)  8 In 3.11-3.20, 4 Sc 3.17
Sc  0.0000  0.1604  0.5000 (multiplicity 4)  8 In 3.11-3.27, 2 Mg 3.17, 2 Sc 3.30
In  0.0000  0.3308  0.0000 (multiplicity 4)  6 Sc 3.11-3.27, 4 In 3.12-3.26, 2 Mg 3.20
In  0.0000  0.5000  0.5000 (multiplicity 2)  4 Sc 3.11, 4 Mg 3.11, 4 In 3.26

A plane-wave DFT calculation with PBE was carried out for a relaxed structure of MgScIn.

DFT total energy (eV per atom): -3.813
Total magnetic moment (μB/cell): 0.00
V (Å³/f.u.): 68.0

Cell: 4.8772 4.8772 3.3020 Å, 90.00 90.00 120.00°
With the nearest neighbours (Å) after each atom.
Space group P-6m2 (No. 187)
Asymmetric unit:
Mg  0.0000  0.0000  0.0000 (multiplicity 1)  3 In 2.82
Sc  0.6667  0.3333  0.5000 (multiplicity 1)  6 Mg 3.26, 6 In 3.26, 2 Sc 3.30
In  0.3333  0.6667  0.0000 (multiplicity 1)  3 Mg 2.82

A plane-wave DFT calculation with PBE was carried out for a relaxed structure of MgScIn3.

Energy above the most stable polymorph in this dataset (meV/atom): 51
Total magnetic moment (μB/cell): 0.00
V (Å³/f.u.): 172.9

Cell: 5.5715 5.5715 5.5715 Å, 90.00 90.00 90.00°
With the nearest neighbours (Å) after each atom.
Space group Pm-3m (No. 221)
Asymmetric unit:
Mg  0.0000  0.0000  0.0000 (multiplicity 1)  12 In 3.94
Sc  0.5000  0.5000  0.5000 (multiplicity 1)  6 In 2.79
In  0.0000  0.5000  0.5000 (multiplicity 3)  2 Sc 2.79

A plane-wave DFT calculation with PBE was carried out for a relaxed structure of MgScIn.

DFT total energy (eV per atom): -3.800
Total magnetic moment (μB/cell): 0.00
V (Å³/f.u.): 67.6

Cell: 3.3779 15.8867 5.0417 Å, 90.00 90.00 90.00°
With the nearest neighbours (Å) after each atom.
Space group Cmcm (No. 63)
Asymmetric unit:
Mg  0.0000  0.2313  0.2500 (multiplicity 4)  4 In 3.09-3.21, 6 Mg 3.09-3.38, 2 Sc 3.15
Sc  0.0000  0.4362  0.7500 (multiplicity 4)  6 In 3.11-3.18, 2 Mg 3.15, 4 Sc 3.23-3.38
In  0.0000  0.1061  0.7500 (multiplicity 4)  4 Mg 3.09-3.21, 6 Sc 3.11-3.18, 2 In 3.38

A plane-wave DFT calculation with PBE was carried out for a relaxed structure of MgSc8In2.

DFT total energy (eV per atom): -5.293
Total magnetic moment (μB/cell): 0.01
V (Å³/f.u.): 266.7

Cell: 8.2339 14.3431 5.3057 Å, 90.00 121.65 90.00°
With the nearest neighbours (Å) after each atom.
Space group C2/m (No. 12)
Asymmetric unit:
Mg  0.0000  0.0000  0.0000 (multiplicity 2)  8 Sc 2.99-3.34
Sc  0.0000  0.2108  0.0000 (multiplicity 4)  2 In 2.98, 1 Mg 3.02, 4 Sc 3.22-3.27
Sc  0.0858  0.5000  0.7973 (multiplicity 4)  3 Sc 2.70-3.01, 1 Mg 2.99
Sc  0.2173  0.1140  0.6438 (multiplicity 8)  6 Sc 3.01-3.27, 2 In 3.03-3.15, 1 Mg 3.34
In  0.0000  0.3058  0.5000 (multiplicity 4)  8 Sc 2.98-3.15

A plane-wave DFT calculation with PBE was carried out for a relaxed structure of MgSc5In2.

DFT total energy (eV per atom): -5.052
Total magnetic moment (μB/cell): 3.18
V (Å³/f.u.): 185.7

Cell: 5.1331 5.1331 14.0947 Å, 90.00 90.00 90.00°
With the nearest neighbours (Å) after each atom.
Space group I4/mmm (No. 139)
Asymmetric unit:
Mg  0.0000  0.0000  0.0000 (multiplicity 2)  8 Sc 3.11
Sc  0.0000  0.0000  0.5000 (multiplicity 2)  8 Sc 3.11, 2 In 3.47
Sc  0.0000  0.5000  0.1251 (multiplicity 8)  4 In 3.08-3.14, 2 Mg 3.11, 2 Sc 3.11
In  0.0000  0.0000  0.2535 (multiplicity 4)  8 Sc 3.08-3.14

A plane-wave DFT calculation with PBE was carried out for a relaxed structure of Mg2Sc5In.

DFT total energy (eV per atom): -4.746
Total magnetic moment (μB/cell): 0.06
V (Å³/f.u.): 190.0

Cell: 7.9064 7.9064 12.1546 Å, 90.00 90.00 90.00°
With the nearest neighbours (Å) after each atom.
Space group I4/mcm (No. 140)
Asymmetric unit:
Mg  0.1415  0.3585  0.0000 (multiplicity 8)  8 Sc 3.04-3.05, 1 Mg 3.17
Sc  0.0000  0.0000  0.0000 (multiplicity 4)  2 In 3.04, 4 Mg 3.05
Sc  0.1513  0.3487  0.3379 (multiplicity 16)  3 Mg 3.04, 4 Sc 3.07-3.38, 2 In 3.19
In  0.0000  0.0000  0.2500 (multiplicity 4)  10 Sc 3.04-3.19

A plane-wave DFT calculation with PBE was carried out for a relaxed structure of MgScIn.

DFT total energy (eV per atom): -3.317
Total magnetic moment (μB/cell): 0.00
V (Å³/f.u.): 82.5

Cell: 6.9108 6.9108 6.9108 Å, 90.00 90.00 90.00°
With the nearest neighbours (Å) after each atom.
Space group F-43m (No. 216)
Asymmetric unit:
Mg  0.0000  0.0000  0.0000 (multiplicity 4)  4 Sc 2.99
Sc  0.2500  0.2500  0.2500 (multiplicity 4)  4 In 2.99, 4 Mg 2.99
In  0.0000  0.0000  0.5000 (multiplicity 4)  4 Sc 2.99

A plane-wave DFT calculation with PBE was carried out for a relaxed structure of MgScIn.

DFT total energy (eV per atom): -3.633
Total magnetic moment (μB/cell): 0.00
V (Å³/f.u.): 72.0

Cell: 3.2964 3.2964 7.6561 Å, 90.00 90.00 120.00°
With the nearest neighbours (Å) after each atom.
Space group P3m1 (No. 156)
Asymmetric unit:
Mg  0.0000  0.0000  0.0000 (multiplicity 1)  3 In 3.16, 3 Sc 3.24, 6 Mg 3.30
Sc  0.6667  0.3333  0.3428 (multiplicity 1)  3 In 3.15, 3 Mg 3.24, 6 Sc 3.30
In  0.3333  0.6667  0.6708 (multiplicity 1)  3 Sc 3.15, 3 Mg 3.16, 6 In 3.30

A plane-wave DFT calculation with PBE was carried out for a relaxed structure of MgSc2In9.

DFT total energy (eV per atom): -3.442
Total magnetic moment (μB/cell): 0.00
V (Å³/f.u.): 285.0

Cell: 4.5626 4.5626 13.6914 Å, 90.00 90.00 90.00°
With the nearest neighbours (Å) after each atom.
Space group P4/mmm (No. 123)
Asymmetric unit:
Mg  0.0000  0.0000  0.0000 (multiplicity 1)  12 In 3.23-3.24
Sc  0.0000  0.0000  0.3387 (multiplicity 2)  12 In 3.17-3.27
In  0.0000  0.5000  0.1681 (multiplicity 4)  8 In 3.23-3.24, 2 Mg 3.24, 2 Sc 3.27
In  0.0000  0.5000  0.5000 (multiplicity 2)  4 Sc 3.17, 8 In 3.21-3.23
In  0.5000  0.5000  0.0000 (multiplicity 1)  4 Mg 3.23, 8 In 3.24
In  0.5000  0.5000  0.3346 (multiplicity 2)  8 In 3.21-3.23, 4 Sc 3.23

A plane-wave DFT calculation with PBE was carried out for a relaxed structure of Mg2ScIn5.

DFT total energy (eV per atom): -3.043
Total magnetic moment (μB/cell): 0.00
V (Å³/f.u.): 191.7

Cell: 7.6937 7.6937 6.4758 Å, 90.00 90.00 90.00°
With the nearest neighbours (Å) after each atom.
Space group I4/mmm (No. 139)
Asymmetric unit:
Mg  0.0000  0.5000  0.0000 (multiplicity 4)  8 In 3.17, 2 Mg 3.24
Sc  0.0000  0.0000  0.0000 (multiplicity 2)  10 In 3.17-3.24
In  0.0000  0.0000  0.5000 (multiplicity 2)  8 In 3.17, 2 Sc 3.24
In  0.2500  0.2500  0.2500 (multiplicity 8)  2 Sc 3.17, 4 In 3.17-3.24, 4 Mg 3.17